Density functional theory data (GGA+U) for crystalline NiPI2O at its relaxed geometry. Values from VASP.

Calculated values
Mass density in Mg/m³: 5.57
Space group: No. 123
Spin magnetization in μB/f.u.: 2.07
Final energy in eV per atom: -2.69
Density of states at the Fermi level in states/eV/atom: 0.90

Quantum ESPRESSO input file:
```
&SYSTEM
  ibrav = 0, nat = 5, ntyp = 4
/
ATOMIC_SPECIES
I 126.90 I.upf
O 16.00 O.upf
P 30.97 P.upf
Ni 58.69 Ni.upf
CELL_PARAMETERS angstrom
5.458 0.000 0.000
0.000 5.458 0.000
0.000 0.000 3.597
ATOMIC_POSITIONS angstrom
I 0.000 2.729 0.000
I 2.729 0.000 0.000
O 0.000 0.000 1.798
P 2.729 2.729 1.798
Ni 0.000 0.000 0.000
```